Entry 1:
# Sr2ErZn2O6, optimized geometry, DFT PBE-GGA
# Total magnetic moment   3.2 Bohr magnetons per cell
# Formation energy without anion corrections   -2.14 eV per atom
data_Sr2ErZn2O6
_chemical_formula_sum 'Sr6 Er3 Zn6 O18'
_cell_length_a 6.0134
_cell_length_b 6.0134
_cell_length_c 17.3348
_cell_angle_alpha 90.00
_cell_angle_beta 90.00
_cell_angle_gamma 120.00
_space_group_name_H-M_alt 'R -3 m'
_space_group_IT_number 166
_space_group_name_Hall '-R 3 2"'
loop_
_atom_site_label
_atom_site_type_symbol
_atom_site_fract_x
_atom_site_fract_y
_atom_site_fract_z
Sr1 Sr 0.0000 0.0000 0.2007
Er1 Er 0.0000 0.0000 0.0000
Zn1 Zn 0.0000 0.0000 0.4205
O1 O 0.0235 0.5118 0.7558

Entry 2:
# AcPuSn, optimized geometry, DFT PBE-GGA
# Total magnetic moment   24.4 Bohr magnetons per cell
# Energy above the lowest structure with this stoichiometry   227 meV per atom
# Energy relative to the elements   -4.8 kcal/mol of atoms
data_AcPuSn
_chemical_formula_sum 'Ac4 Pu4 Sn4'
_cell_length_a 9.064
_cell_length_b 5.244
_cell_length_c 8.133
_cell_angle_alpha 90.00
_cell_angle_beta 90.13
_cell_angle_gamma 90.00
_space_group_name_H-M_alt 'C 1 2/m 1'
_space_group_IT_number 12
_space_group_name_Hall '-C 2y'
loop_
_atom_site_label
_atom_site_type_symbol
_atom_site_fract_x
_atom_site_fract_y
_atom_site_fract_z
Ac1 Ac 0.167 0.000 0.373
Pu1 Pu 0.167 0.000 0.936
Sn1 Sn 0.000 0.500 0.199

Entry 3:
# Pm6Pb2C, optimized geometry, DFT PBE-GGA
# Total magnetic moment   3.8 Bohr magnetons per cell
# Energy above the lowest structure with this stoichiometry   184 meV per atom
# Energy relative to the elements   -4.4 kcal/mol of atoms
data_Pm6Pb2C
_chemical_formula_sum 'Pm12 Pb4 C2'
_cell_length_a 3.774
_cell_length_b 15.370
_cell_length_c 8.876
_cell_angle_alpha 90.00
_cell_angle_beta 90.00
_cell_angle_gamma 90.00
_space_group_name_H-M_alt 'A m m 2'
_space_group_IT_number 38
_space_group_name_Hall 'A 2 -2'
loop_
_atom_site_label
_atom_site_type_symbol
_atom_site_fract_x
_atom_site_fract_y
_atom_site_fract_z
Pm1 Pm 0.000 0.000 0.000
Pm2 Pm 0.000 0.109 0.674
Pm3 Pm 0.500 0.000 0.379
Pm4 Pm 0.500 0.202 0.984
Pb1 Pb 0.000 0.167 0.282
C1 C 0.500 0.000 0.783

The lowest total magnetic moment belongs to which entry?
Sr2ErZn2O6